# GGA-PBE Cs2RbSmI6, relaxed
# VASP energy, eV per atom: -3.160
data_Cs2RbSmI6
_chemical_formula_sum 'Cs4 Rb2 Sm2 I12'
_symmetry_space_group_name_H-M 'P 1'
_symmetry_Int_Tables_number 1
_cell_length_a 8.8024
_cell_length_b 13.1473
_cell_length_c 10.1698
_cell_angle_alpha 90.00
_cell_angle_beta 90.00
_cell_angle_gamma 90.00
loop_
_symmetry_equiv_pos_as_xyz
'x,y,z'
loop_
_atom_site_label
_atom_site_type_symbol
_atom_site_fract_x
_atom_site_fract_y
_atom_site_fract_z
Cs1 Cs 0.2500 0.0465 0.1757
Cs2 Cs 0.2500 0.4535 0.1757
Cs3 Cs 0.7500 0.5465 0.8243
Cs4 Cs 0.7500 0.9535 0.8243
Rb1 Rb 0.2500 0.2500 0.6928
Rb2 Rb 0.7500 0.7500 0.3072
Sm1 Sm 0.2500 0.7500 0.7992
Sm2 Sm 0.7500 0.2500 0.2008
I1 I 0.0082 0.2500 0.4037
I2 I 0.0104 0.7500 0.0242
I3 I 0.2500 0.5146 0.7984
I4 I 0.2500 0.9854 0.7984
I5 I 0.4896 0.7500 0.0242
I6 I 0.4918 0.2500 0.4037
I7 I 0.5082 0.7500 0.5963
I8 I 0.5104 0.2500 0.9758
I9 I 0.7500 0.0146 0.2016
I10 I 0.7500 0.4854 0.2016
I11 I 0.9896 0.2500 0.9758
I12 I 0.9918 0.7500 0.5963


# GGA-PBE LaEuTm2, relaxed
# Distance to the lowest polymorph of the same formula, meV/atom: 22.8
# DFT formation energy, eV/atom: 0.103
data_LaEuTm2
_chemical_formula_sum 'La1 Eu1 Tm2'
_symmetry_space_group_name_H-M 'P 1'
_symmetry_Int_Tables_number 1
_cell_length_a 5.1699
_cell_length_b 5.1699
_cell_length_c 5.0698
_cell_angle_alpha 90.00
_cell_angle_beta 90.00
_cell_angle_gamma 90.00
loop_
_symmetry_equiv_pos_as_xyz
'x,y,z'
loop_
_atom_site_label
_atom_site_type_symbol
_atom_site_fract_x
_atom_site_fract_y
_atom_site_fract_z
La1 La 0.0000 0.0000 0.0000
Eu1 Eu 0.5000 0.5000 0.0000
Tm1 Tm 0.0000 0.5000 0.5000
Tm2 Tm 0.5000 0.0000 0.5000


# GGA-PBE Hf3MoIr, relaxed
# Distance to the lowest polymorph of the same formula, meV/atom: 0.0
# DFT formation energy, eV/atom: 0.672
data_Hf3MoIr
_chemical_formula_sum 'Hf3 Mo1 Ir1'
_symmetry_space_group_name_H-M 'P 1'
_symmetry_Int_Tables_number 1
_cell_length_a 4.9569
_cell_length_b 4.9569
_cell_length_c 4.9569
_cell_angle_alpha 90.00
_cell_angle_beta 90.00
_cell_angle_gamma 90.00
loop_
_symmetry_equiv_pos_as_xyz
'x,y,z'
loop_
_atom_site_label
_atom_site_type_symbol
_atom_site_fract_x
_atom_site_fract_y
_atom_site_fract_z
Hf1 Hf 0.0000 0.0000 0.5000
Hf2 Hf 0.0000 0.5000 0.0000
Hf3 Hf 0.5000 0.0000 0.0000
Mo1 Mo 0.5000 0.5000 0.5000
Ir1 Ir 0.0000 0.0000 0.0000


# GGA-PBE In2Cu2Ge, relaxed
# Distance to the lowest polymorph of the same formula, meV/atom: 209.9
# DFT formation energy, eV/atom: 0.344
data_In2Cu2Ge
_chemical_formula_sum 'In4 Cu4 Ge2'
_symmetry_space_group_name_H-M 'P 1'
_symmetry_Int_Tables_number 1
_cell_length_a 4.1129
_cell_length_b 4.1129
_cell_length_c 11.8943
_cell_angle_alpha 90.00
_cell_angle_beta 90.00
_cell_angle_gamma 90.00
loop_
_symmetry_equiv_pos_as_xyz
'x,y,z'
loop_
_atom_site_label
_atom_site_type_symbol
_atom_site_fract_x
_atom_site_fract_y
_atom_site_fract_z
In1 In 0.0000 0.5000 0.2500
In2 In 0.0000 0.5000 0.7500
In3 In 0.5000 0.0000 0.2500
In4 In 0.5000 0.0000 0.7500
Cu1 Cu 0.0000 0.0000 0.0987
Cu2 Cu 0.0000 0.0000 0.9013
Cu3 Cu 0.5000 0.5000 0.4013
Cu4 Cu 0.5000 0.5000 0.5987
Ge1 Ge 0.0000 0.0000 0.5000
Ge2 Ge 0.5000 0.5000 0.0000


# GGA-PBE CeMg2Cu, relaxed
# DFT formation energy, eV/atom: 0.180
data_CeMg2Cu
_chemical_formula_sum 'Ce3 Mg6 Cu3'
_symmetry_space_group_name_H-M 'P 1'
_symmetry_Int_Tables_number 1
_cell_length_a 2.9933
_cell_length_b 2.9933
_cell_length_c 32.5263
_cell_angle_alpha 90.00
_cell_angle_beta 90.00
_cell_angle_gamma 120.00
loop_
_symmetry_equiv_pos_as_xyz
'x,y,z'
loop_
_atom_site_label
_atom_site_type_symbol
_atom_site_fract_x
_atom_site_fract_y
_atom_site_fract_z
Ce1 Ce 0.0000 0.0000 0.0000
Ce2 Ce 0.3333 0.6667 0.6667
Ce3 Ce 0.6667 0.3333 0.3333
Mg1 Mg 0.0000 0.0000 0.1009
Mg2 Mg 0.0000 0.0000 0.8991
Mg3 Mg 0.3333 0.6667 0.5657
Mg4 Mg 0.3333 0.6667 0.7676
Mg5 Mg 0.6667 0.3333 0.2324
Mg6 Mg 0.6667 0.3333 0.4343
Cu1 Cu 0.0000 0.0000 0.5000
Cu2 Cu 0.3333 0.6667 0.1667
Cu3 Cu 0.6667 0.3333 0.8333


# GGA-PBE MgZnSe2, relaxed
# VASP energy, eV per atom: -3.163
data_MgZnSe2
_chemical_formula_sum 'Mg2 Zn2 Se4'
_symmetry_space_group_name_H-M 'P 1'
_symmetry_Int_Tables_number 1
_cell_length_a 3.8063
_cell_length_b 3.8063
_cell_length_c 13.1320
_cell_angle_alpha 90.00
_cell_angle_beta 90.00
_cell_angle_gamma 120.00
loop_
_symmetry_equiv_pos_as_xyz
'x,y,z'
loop_
_atom_site_label
_atom_site_type_symbol
_atom_site_fract_x
_atom_site_fract_y
_atom_site_fract_z
Mg1 Mg 0.3333 0.6667 0.2500
Mg2 Mg 0.6667 0.3333 0.7500
Zn1 Zn 0.0000 0.0000 0.0000
Zn2 Zn 0.0000 0.0000 0.5000
Se1 Se 0.3333 0.6667 0.6172
Se2 Se 0.3333 0.6667 0.8828
Se3 Se 0.6667 0.3333 0.1172
Se4 Se 0.6667 0.3333 0.3828


# GGA-PBE DyAl2Tc, relaxed
# Distance to the lowest polymorph of the same formula, meV/atom: 59.9
# DFT formation energy, eV/atom: -0.273
data_DyAl2Tc
_chemical_formula_sum 'Dy3 Al6 Tc3'
_symmetry_space_group_name_H-M 'P 1'
_symmetry_Int_Tables_number 1
_cell_length_a 4.2572
_cell_length_b 4.2572
_cell_length_c 15.1920
_cell_angle_alpha 90.00
_cell_angle_beta 90.00
_cell_angle_gamma 120.00
loop_
_symmetry_equiv_pos_as_xyz
'x,y,z'
loop_
_atom_site_label
_atom_site_type_symbol
_atom_site_fract_x
_atom_site_fract_y
_atom_site_fract_z
Dy1 Dy 0.0000 0.0000 0.0000
Dy2 Dy 0.3333 0.6667 0.6667
Dy3 Dy 0.6667 0.3333 0.3333
Al1 Al 0.0000 0.0000 0.2104
Al2 Al 0.0000 0.0000 0.7896
Al3 Al 0.3333 0.6667 0.4563
Al4 Al 0.3333 0.6667 0.8770
Al5 Al 0.6667 0.3333 0.1230
Al6 Al 0.6667 0.3333 0.5437
Tc1 Tc 0.0000 0.0000 0.5000
Tc2 Tc 0.3333 0.6667 0.1667
Tc3 Tc 0.6667 0.3333 0.8333


# GGA-PBE DyMn3Pd12, relaxed
# DFT formation energy, eV/atom: -0.373
data_DyMn3Pd12
_chemical_formula_sum 'Dy1 Mn3 Pd12'
_symmetry_space_group_name_H-M 'P 1'
_symmetry_Int_Tables_number 1
_cell_length_a 3.9881
_cell_length_b 3.9881
_cell_length_c 15.8051
_cell_angle_alpha 90.00
_cell_angle_beta 90.00
_cell_angle_gamma 90.00
loop_
_symmetry_equiv_pos_as_xyz
'x,y,z'
loop_
_atom_site_label
_atom_site_type_symbol
_atom_site_fract_x
_atom_site_fract_y
_atom_site_fract_z
Dy1 Dy 0.0000 0.0000 0.0000
Mn1 Mn 0.0000 0.0000 0.2574
Mn2 Mn 0.0000 0.0000 0.5000
Mn3 Mn 0.0000 0.0000 0.7426
Pd1 Pd 0.0000 0.5000 0.1354
Pd2 Pd 0.0000 0.5000 0.3788
Pd3 Pd 0.0000 0.5000 0.6212
Pd4 Pd 0.0000 0.5000 0.8646
Pd5 Pd 0.5000 0.0000 0.1354
Pd6 Pd 0.5000 0.0000 0.3788
Pd7 Pd 0.5000 0.0000 0.6212
Pd8 Pd 0.5000 0.0000 0.8646
Pd9 Pd 0.5000 0.5000 0.0000
Pd10 Pd 0.5000 0.5000 0.2569
Pd11 Pd 0.5000 0.5000 0.5000
Pd12 Pd 0.5000 0.5000 0.7431


# GGA-PBE Tb7InIr2, relaxed
# DFT formation energy, eV/atom: -0.297
data_Tb7InIr2
_chemical_formula_sum 'Tb7 In1 Ir2'
_symmetry_space_group_name_H-M 'P 1'
_symmetry_Int_Tables_number 1
_cell_length_a 8.1804
_cell_length_b 8.1804
_cell_length_c 5.2961
_cell_angle_alpha 90.00
_cell_angle_beta 90.00
_cell_angle_gamma 114.06
loop_
_symmetry_equiv_pos_as_xyz
'x,y,z'
loop_
_atom_site_label
_atom_site_type_symbol
_atom_site_fract_x
_atom_site_fract_y
_atom_site_fract_z
Tb1 Tb 0.0000 0.0000 0.0000
Tb2 Tb 0.1849 0.4437 0.0000
Tb3 Tb 0.2155 0.7845 0.5000
Tb4 Tb 0.4437 0.1849 0.0000
Tb5 Tb 0.5563 0.8151 0.0000
Tb6 Tb 0.7845 0.2155 0.5000
Tb7 Tb 0.8151 0.5563 0.0000
In1 In 0.5000 0.5000 0.5000
Ir1 Ir 0.2032 0.7968 0.0000
Ir2 Ir 0.7968 0.2032 0.0000


# GGA-PBE PmPr4SmS8, relaxed
# VASP energy, eV per atom: -6.303
data_PmPr4SmS8
_chemical_formula_sum 'Pm1 Pr4 Sm1 S8'
_symmetry_space_group_name_H-M 'P 1'
_symmetry_Int_Tables_number 1
_cell_length_a 8.3584
_cell_length_b 8.3584
_cell_length_c 8.3584
_cell_angle_alpha 60.14
_cell_angle_beta 60.14
_cell_angle_gamma 60.14
loop_
_symmetry_equiv_pos_as_xyz
'x,y,z'
loop_
_atom_site_label
_atom_site_type_symbol
_atom_site_fract_x
_atom_site_fract_y
_atom_site_fract_z
Pm1 Pm 0.0000 0.0000 0.0000
Pr1 Pr 0.0000 0.0000 0.4971
Pr2 Pr 0.0000 0.4971 0.0000
Pr3 Pr 0.4971 0.0000 0.0000
Pr4 Pr 0.6237 0.6237 0.6237
Sm1 Sm 0.3746 0.3746 0.3746
S1 S 0.2234 0.7601 0.7601
S2 S 0.2410 0.2410 0.7672
S3 S 0.2410 0.7672 0.2410
S4 S 0.2441 0.2441 0.2441
S5 S 0.7568 0.7568 0.7568
S6 S 0.7601 0.2234 0.7601
S7 S 0.7601 0.7601 0.2234
S8 S 0.7672 0.2410 0.2410


# GGA-PBE SrCaNi, relaxed
# Distance to the lowest polymorph of the same formula, meV/atom: 848.0
# DFT formation energy, eV/atom: 0.751
data_SrCaNi
_chemical_formula_sum 'Sr4 Ca4 Ni4'
_symmetry_space_group_name_H-M 'P 1'
_symmetry_Int_Tables_number 1
_cell_length_a 7.2338
_cell_length_b 7.2338
_cell_length_c 7.2338
_cell_angle_alpha 90.00
_cell_angle_beta 90.00
_cell_angle_gamma 90.00
loop_
_symmetry_equiv_pos_as_xyz
'x,y,z'
loop_
_atom_site_label
_atom_site_type_symbol
_atom_site_fract_x
_atom_site_fract_y
_atom_site_fract_z
Sr1 Sr 0.0000 0.0000 0.0000
Sr2 Sr 0.0000 0.5000 0.5000
Sr3 Sr 0.5000 0.0000 0.5000
Sr4 Sr 0.5000 0.5000 0.0000
Ca1 Ca 0.2500 0.2500 0.7500
Ca2 Ca 0.2500 0.7500 0.2500
Ca3 Ca 0.7500 0.2500 0.2500
Ca4 Ca 0.7500 0.7500 0.7500
Ni1 Ni 0.2500 0.2500 0.2500
Ni2 Ni 0.2500 0.7500 0.7500
Ni3 Ni 0.7500 0.2500 0.7500
Ni4 Ni 0.7500 0.7500 0.2500


# GGA-PBE PrVNi2, relaxed
# DFT formation energy, eV/atom: -0.161
data_PrVNi2
_chemical_formula_sum 'Pr3 V3 Ni6'
_symmetry_space_group_name_H-M 'P 1'
_symmetry_Int_Tables_number 1
_cell_length_a 4.1066
_cell_length_b 4.1066
_cell_length_c 15.0646
_cell_angle_alpha 90.00
_cell_angle_beta 90.00
_cell_angle_gamma 120.00
loop_
_symmetry_equiv_pos_as_xyz
'x,y,z'
loop_
_atom_site_label
_atom_site_type_symbol
_atom_site_fract_x
_atom_site_fract_y
_atom_site_fract_z
Pr1 Pr 0.0000 0.0000 0.0000
Pr2 Pr 0.3333 0.6667 0.6667
Pr3 Pr 0.6667 0.3333 0.3333
V1 V 0.0000 0.0000 0.5000
V2 V 0.3333 0.6667 0.1667
V3 V 0.6667 0.3333 0.8333
Ni1 Ni 0.0000 0.0000 0.1959
Ni2 Ni 0.0000 0.0000 0.8041
Ni3 Ni 0.3333 0.6667 0.4708
Ni4 Ni 0.3333 0.6667 0.8626
Ni5 Ni 0.6667 0.3333 0.1374
Ni6 Ni 0.6667 0.3333 0.5292